A plane-wave DFT calculation with PBE was carried out for TeS3N2 after structural relaxation.

Cell lengths 7.6660, 8.5932, 8.6618 Å; angles 90.00, 90.00, 90.00 degrees
Closest atoms and distances in Å follow each position.
Atoms (fractional coordinates):
1 Te 0.0618 0.2500 0.2320  4 S 2.71-2.80
2 Te 0.4382 0.7500 0.7320  4 S 2.71-2.80
3 Te 0.5618 0.2500 0.2680  4 S 2.71-2.80
4 Te 0.9382 0.7500 0.7680  4 S 2.71-2.80
5 S 0.1917 0.5619 0.8812  1 N 1.69
6 S 0.1917 0.9381 0.8812  1 N 1.69
7 S 0.2236 0.2500 0.8688  2 N 1.60
8 S 0.2764 0.7500 0.3688  2 N 1.60
9 S 0.3083 0.0619 0.3812  1 N 1.69
10 S 0.3083 0.4381 0.3812  1 N 1.69
11 S 0.6917 0.5619 0.6188  1 N 1.69
12 S 0.6917 0.9381 0.6188  1 N 1.69
13 S 0.7236 0.2500 0.6312  2 N 1.60
14 S 0.7764 0.7500 0.1312  2 N 1.60
15 S 0.8083 0.0619 0.1188  1 N 1.69
16 S 0.8083 0.4381 0.1188  1 N 1.69
17 N 0.1282 0.1034 0.7929  2 S 1.60-1.69
18 N 0.1282 0.3966 0.7929  2 S 1.60-1.69
19 N 0.3718 0.6034 0.2929  2 S 1.60-1.69
20 N 0.3718 0.8966 0.2929  2 S 1.60-1.69
21 N 0.6282 0.1034 0.7071  2 S 1.60-1.69
22 N 0.6282 0.3966 0.7071  2 S 1.60-1.69
23 N 0.8718 0.6034 0.2071  2 S 1.60-1.69
24 N 0.8718 0.8966 0.2071  2 S 1.60-1.69

ΔE_f (raw) = 3.5 eV/f.u.
volume = 571 Å³ per cell
uncorrected energy = -4.779 eV/atom
space group = Pnma
crystal system = orthorhombic
density of states at the Fermi level = 1.4 states/eV per cell
excess energy over the best structure of this formula in the dataset = 0.1058 eV/atom